Computed, not measured: a geometry-optimized ZrSiF3 structure at the PBE level of DFT.

The structure belongs to space group Pm-3m (No. 221); the cell edges are 4.307, 4.307 and 4.307 Å and the angles 90.00°, 90.00° and 90.00°. Symmetry generates all atoms from Zr at (0.000, 0.000, 0.000), Si at (0.500, 0.500, 0.500) and F at (0.000, 0.500, 0.500).

Its total moment is 2.94 μB/f.u. As for the crystal system: cubic. The theoretical density comes out at 3665 kg/m³. For the energy above the most stable polymorph in this dataset, the calculation gives 779 meV/atom. The formation energy from raw total energies is -984 meV per atom.



Computed, not measured: a geometry-optimized TmLuReAg structure at the PBE level of DFT.

The structure belongs to space group F-43m (No. 216); the cell edges are 6.910, 6.910 and 6.910 Å and the angles 90.00°, 90.00° and 90.00°. Symmetry generates all atoms from Tm at (0.000, 0.000, 0.000), Lu at (0.000, 0.000, 0.500), Re at (0.250, 0.250, 0.250) and Ag at (0.250, 0.250, 0.750).

Its total moment is 0.00 μB/f.u. As for the crystal system: cubic. The theoretical density comes out at 12842 kg/m³. The calculation puts the electronic total energy at -0.4510 Ry per atom.